(1)
Zn2SnPt | PBE | relaxed

Properties
N(E_F), states/eV/atom: 0.385
VASP energy, eV/atom: -3.269
Density, g/cm³: 9.84

```
data_Zn2SnPt
_chemical_formula_sum 'Zn6 Sn3 Pt3'
_symmetry_space_group_name_H-M 'R -3 m'
_symmetry_Int_Tables_number 166
_symmetry_space_group_name_Hall '-R 3 2"'
_cell_length_a 4.3411
_cell_length_b 4.3411
_cell_length_c 13.7909
_cell_angle_alpha 90.00
_cell_angle_beta 90.00
_cell_angle_gamma 120.00
loop_
_atom_site_label
_atom_site_fract_x
_atom_site_fract_y
_atom_site_fract_z
_atom_site_occupancy
Zn1 0.0000 0.0000 0.2211 1
Sn1 0.0000 0.0000 0.0000 1
Pt1 0.0000 0.0000 0.5000 1
```

(2)
Ba3InPt2O6 | PBE | relaxed

Properties
N(E_F), states/eV/atom: 0.677
Formation energy from raw total energies, meV/atom: -1337
Density, g/cm³: 7.81

```
data_Ba3InPt2O6
_chemical_formula_sum 'Ba3 In1 Pt2 O6'
_symmetry_space_group_name_H-M 'P -3 m 1'
_symmetry_Int_Tables_number 164
_symmetry_space_group_name_Hall '-P 3 2"'
_cell_length_a 5.9950
_cell_length_b 5.9950
_cell_length_c 6.9162
_cell_angle_alpha 90.00
_cell_angle_beta 90.00
_cell_angle_gamma 120.00
loop_
_atom_site_label
_atom_site_fract_x
_atom_site_fract_y
_atom_site_fract_z
_atom_site_occupancy
Ba1 0.0000 0.0000 0.0000 1
Ba2 0.3333 0.6667 0.6472 1
In1 0.0000 0.0000 0.5000 1
Pt1 0.3333 0.6667 0.1422 1
O1 0.1676 0.3353 0.3120 1
```